Density functional theory data (SCAN) for a PBEsol-optimized structure of ScSeNO2.

Output
* mass density: 4.22 g/cm³
* formation energy from raw total energies: -0.3228 eV per atom

```
data_ScSeNO2
_chemical_formula_sum 'Sc1 Se1 N1 O2'
_space_group_name_H-M_alt 'P 4/m m m'
_space_group_IT_number 123
_space_group_name_Hall '-P 4 2'
_cell_length_a 3.9467
_cell_length_b 3.9467
_cell_length_c 4.2877
_cell_angle_alpha 90.00
_cell_angle_beta 90.00
_cell_angle_gamma 90.00
loop_
_atom_site_label
_atom_site_fract_x
_atom_site_fract_y
_atom_site_fract_z
_atom_site_occupancy
Sc1 0.0000 0.0000 0.0000 1
Se1 0.5000 0.5000 0.5000 1
N1 0.0000 0.0000 0.5000 1
O1 0.0000 0.5000 0.0000 1
```